DyVO4F | PBE with a Hubbard U | relaxed

Results
E = -102.298 eV per cell
Total magnetization = 0.00 μB per atom
Volume = 15.55 A^3/atom
Mass density = 4.523 g/cm³

```
DyVO4F
1.0
-5.367 1.318 2.129
-0.084 -2.160 5.514
1.577 5.496 3.185
F Dy V O
2 2 2 8
Direct
0.985 0.985 0.809 F
0.015 0.015 0.191 F
0.195 0.195 0.918 Dy
0.805 0.805 0.082 Dy
0.373 0.373 0.288 V
0.627 0.627 0.712 V
0.874 0.506 0.841 O
0.694 0.694 0.445 O
0.506 0.874 0.841 O
0.306 0.306 0.555 O
0.126 0.494 0.159 O
0.439 0.439 0.758 O
0.561 0.561 0.242 O
0.494 0.126 0.159 O
```